A plane-wave DFT calculation with PBE+U was carried out for a relaxed structure of RbCrGe2O6.

a = 5.505 Å, b = 7.935 Å, c = 7.935 Å
α = 93.52°, β = 79.08°, γ = 79.08°
Last column: magnetic moment on the atom in μB.
Positions (direct):
Ge  0.181  0.367  0.201  0.01
O  0.996  0.244  0.336  0.00
O  0.732  0.991  0.266  0.00
Cr  0.250  0.256  0.744  2.92
Cr  0.750  0.744  0.256  2.92
Rb  0.250  0.896  0.104  0.00
O  0.768  0.734  0.009  0.00
O  0.232  0.266  0.991  0.00
O  0.052  0.587  0.246  -0.02
O  0.268  0.009  0.734  0.00
O  0.552  0.246  0.587  -0.02
O  0.504  0.664  0.756  0.00
Ge  0.819  0.633  0.799  0.01
O  0.948  0.413  0.754  -0.02
O  0.448  0.754  0.413  -0.02
Ge  0.681  0.201  0.367  0.01
Rb  0.750  0.104  0.896  0.00
O  0.496  0.336  0.244  0.00
Ge  0.319  0.799  0.633  0.01
O  0.004  0.756  0.664  0.00

Calculated values
Space-group type = C2/c
Total energy = -6.349 eV/atom